Density functional theory data (PBE-GGA) for a relaxed structure of Tl4CoRe.

Calculated values
The calculation puts the formation energy at 1.533 eV per atom.

CIF file:
```
data_Tl4CoRe
_space_group_name_H-M_alt 'P 1'
_space_group_IT_number 1
_cell_length_a 6.076
_cell_length_b 6.076
_cell_length_c 6.076
_cell_angle_alpha 60.00
_cell_angle_beta 60.00
_cell_angle_gamma 60.00
loop_
_space_group_symop_operation_xyz
'x,y,z'
loop_
_atom_site_label
_atom_site_type_symbol
_atom_site_fract_x
_atom_site_fract_y
_atom_site_fract_z
Tl1 Tl 0.875 0.375 0.375
Tl2 Tl 0.375 0.375 0.875
Tl3 Tl 0.375 0.875 0.375
Tl4 Tl 0.375 0.375 0.375
Co1 Co 0.750 0.750 0.750
Re1 Re 0.000 0.000 0.000
```